# Pr3HfGe6

A relaxed Pr3HfGe6 crystal (GGA-PBE, Alexandria via LeMat-Bulk).

Geometry as extended XYZ:
```
20
Lattice="7.709 -0.031 -0.972 -1.099 7.630 -0.972 -0.027 -0.031 7.770" Properties=species:S:1:pos:R:3 pbc="T T T"
Pr 0.562 5.707 1.575
Pr 2.241 1.347 5.341
Pr 1.157 5.163 5.460
Pr 5.426 2.406 0.366
Pr 4.343 6.222 0.484
Pr 6.022 1.862 4.251
Hf 0.000 0.000 0.000
Hf 3.292 3.784 2.913
Ge 6.288 4.779 6.156
Ge 0.004 0.679 2.742
Ge 0.570 3.106 3.243
Ge 2.803 0.098 0.333
Ge 2.620 3.687 0.171
Ge 3.000 6.574 3.246
Ge 3.584 0.995 2.580
Ge 3.964 3.882 5.655
Ge 3.781 7.471 5.493
Ge 6.014 4.463 2.583
Ge 6.580 6.890 3.084
Ge 0.295 2.790 -0.330
```

For the density of states at the Fermi level, the calculation gives 11.0 states/eV per cell. Its total magnetic moment is 0.0 μB per formula unit. As for the total energy: -58.3 eV per formula unit.